Ba3NaLi | GGA-PBE | optimized geometry

Output
Offset from the most stable computed form: 155 meV per atom
Symmetry: R-3m

Cell: 8.921 8.921 9.821 Å, 62.99 62.99 60.00°
Sites, in units of the cell vectors:
Li: 0.336 0.336 0.992
Li: 0.664 0.664 0.008
Ba: 0.911 0.400 0.289
Ba: 0.600 0.089 0.711
Ba: 0.400 0.911 0.289
Ba: 0.600 0.600 0.711
Ba: 0.400 0.400 0.289
Ba: 0.089 0.600 0.711
Na: 0.910 0.910 0.270
Na: 0.090 0.090 0.730



Ba2NaLi | GGA-PBE | optimized geometry

Output
Offset from the most stable computed form: 0 meV per atom
Symmetry: P4/mmm

Cell: 4.398 4.398 9.725 Å, 90.00 90.00 90.00°
Sites, in units of the cell vectors:
Ba: 0.000 0.000 0.223
Ba: 0.000 0.000 0.777
Li: 0.500 0.500 0.000
Na: 0.500 0.500 0.500



Ba3NaLi3 | GGA-PBE | optimized geometry

Output
Symmetry: Cmcm

Cell: 5.340 7.162 16.865 Å, 90.00 90.00 111.89°
Sites, in units of the cell vectors:
Li: 0.075 0.151 0.093
Li: 0.195 0.389 0.250
Li: 0.925 0.849 0.907
Li: 0.925 0.849 0.593
Li: 0.075 0.151 0.407
Li: 0.805 0.611 0.750
Ba: 0.504 0.008 0.750
Ba: 0.787 0.573 0.393
Ba: 0.496 0.992 0.250
Ba: 0.213 0.427 0.607
Ba: 0.213 0.427 0.893
Ba: 0.787 0.573 0.107
Na: 0.500 0.000 0.500
Na: 0.500 0.000 0.000



BaNaLi | GGA-PBE | optimized geometry

Output
Offset from the most stable computed form: 3 meV per atom
Symmetry: Ima2

Cell: 9.166 10.514 10.514 Å, 58.63 64.16 64.16°
Sites, in units of the cell vectors:
Ba: 0.838 0.750 0.250
Ba: 0.257 0.460 0.960
Ba: 0.677 0.540 0.040
Ba: 0.838 0.250 0.750
Ba: 0.675 0.041 0.541
Ba: 0.257 0.959 0.459
Li: 0.923 0.834 0.833
Li: 0.590 0.667 0.666
Li: 0.256 0.251 0.751
Li: 0.590 0.166 0.167
Li: 0.258 0.749 0.249
Li: 0.923 0.333 0.334
Na: 0.018 0.118 0.121
Na: 0.496 0.000 0.000
Na: 0.257 0.379 0.382
Na: 0.496 0.500 0.500
Na: 0.018 0.621 0.618
Na: 0.257 0.882 0.879



Ba5Na4Li | GGA-PBE | optimized geometry

Output
Symmetry: P4/mmm

Cell: 4.646 4.646 23.140 Å, 90.00 90.00 90.00°
Sites, in units of the cell vectors:
Na: 0.000 0.000 0.193
Na: 0.000 0.000 0.398
Na: 0.000 0.000 0.602
Na: 0.000 0.000 0.807
Ba: 0.500 0.500 0.295
Ba: 0.500 0.500 0.500
Ba: 0.500 0.500 0.705
Ba: 0.500 0.500 0.910
Ba: 0.500 0.500 0.090
Li: 0.000 0.000 0.000



Ba2Na2Li | GGA-PBE | optimized geometry

Output
Offset from the most stable computed form: 0 meV per atom
Symmetry: C2/c

Cell: 7.718 7.697 9.242 Å, 104.42 90.00 120.09°
Sites, in units of the cell vectors:
Na: 0.779 0.782 0.524
Na: 0.997 0.218 0.976
Na: 0.003 0.782 0.024
Na: 0.221 0.218 0.476
Li: 0.788 0.000 0.250
Li: 0.212 0.000 0.750
Ba: 0.760 0.311 0.645
Ba: 0.240 0.689 0.355
Ba: 0.550 0.311 0.145
Ba: 0.450 0.689 0.855



Ba5NaLi | GGA-PBE | optimized geometry

Output
Symmetry: C2/c

Cell: 8.253 8.253 14.023 Å, 73.77 73.77 60.28°
Sites, in units of the cell vectors:
Li: 0.000 0.000 0.500
Li: 0.000 0.000 0.000
Na: 0.556 0.444 0.750
Na: 0.444 0.556 0.250
Ba: 0.774 0.484 0.468
Ba: 0.397 0.056 0.354
Ba: 0.603 0.944 0.646
Ba: 0.484 0.774 0.968
Ba: 0.056 0.397 0.854
Ba: 0.954 0.046 0.250
Ba: 0.944 0.603 0.146
Ba: 0.226 0.516 0.532
Ba: 0.046 0.954 0.750
Ba: 0.516 0.226 0.032



Ba8NaLi2 | GGA-PBE | optimized geometry

Output
Symmetry: C2/m

Cell: 6.188 9.300 11.465 Å, 69.88 74.33 90.00°
Sites, in units of the cell vectors:
Ba: 0.177 0.962 0.615
Ba: 0.690 0.301 0.589
Ba: 0.822 0.039 0.324
Ba: 0.095 0.473 0.778
Ba: 0.904 0.527 0.161
Ba: 0.465 0.227 0.038
Ba: 0.534 0.774 0.901
Ba: 0.309 0.699 0.351
Li: 0.316 0.309 0.338
Li: 0.684 0.692 0.601
Na: 0.000 0.000 0.969



Ba2Na2Li | GGA-PBE | optimized geometry

Output
Offset from the most stable computed form: 179 meV per atom
Symmetry: P4/mbm

Cell: 10.175 10.175 4.906 Å, 90.00 90.00 90.00°
Sites, in units of the cell vectors:
Ba: 0.158 0.342 0.000
Ba: 0.842 0.658 0.000
Ba: 0.658 0.158 0.000
Ba: 0.342 0.842 0.000
Li: 0.500 0.500 0.000
Li: 0.000 0.000 0.000
Na: 0.860 0.360 0.500
Na: 0.360 0.140 0.500
Na: 0.640 0.860 0.500
Na: 0.140 0.640 0.500



BaNa8Li4 | GGA-PBE | optimized geometry

Output
Symmetry: I4/mmm

Cell: 6.427 8.875 8.875 Å, 82.47 68.77 68.77°
Sites, in units of the cell vectors:
Ba: 0.000 0.000 0.000
Li: 0.500 0.000 0.500
Li: 0.000 0.500 0.000
Li: 0.500 0.500 0.000
Li: 0.000 0.000 0.500
Na: 0.652 0.348 0.348
Na: 0.719 0.781 0.781
Na: 0.348 0.652 0.652
Na: 0.000 0.348 0.652
Na: 0.000 0.652 0.348
Na: 0.500 0.219 0.781
Na: 0.500 0.781 0.219
Na: 0.281 0.219 0.219



Ba2Na2Li | GGA-PBE | optimized geometry

Output
Offset from the most stable computed form: 44 meV per atom
Symmetry: P4/mbm

Cell: 8.779 8.779 5.992 Å, 90.00 90.00 90.00°
Sites, in units of the cell vectors:
Na: 0.366 0.866 0.000
Na: 0.866 0.634 0.000
Na: 0.634 0.134 0.000
Na: 0.134 0.366 0.000
Li: 0.000 0.000 0.000
Li: 0.500 0.500 0.000
Ba: 0.678 0.822 0.500
Ba: 0.822 0.322 0.500
Ba: 0.178 0.678 0.500
Ba: 0.322 0.178 0.500



Ba3NaLi | GGA-PBE | optimized geometry

Output
Offset from the most stable computed form: 0 meV per atom
Symmetry: C2

Cell: 4.669 10.407 10.941 Å, 88.17 89.99 102.96°
Sites, in units of the cell vectors:
Ba: 0.036 0.038 0.984
Ba: 0.578 0.123 0.637
Ba: 0.378 0.723 0.785
Ba: 0.730 0.427 0.023
Ba: 0.920 0.808 0.437
Ba: 0.226 0.419 0.398
Li: 0.195 0.357 0.767
Li: 0.761 0.488 0.654
Na: 0.386 0.738 0.147
Na: 0.571 0.108 0.275



BaNa2Li2 | GGA-PBE | optimized geometry

Output
Offset from the most stable computed form: 12 meV per atom
Symmetry: P4/mbm

Cell: 9.565 9.565 3.925 Å, 90.00 90.00 90.00°
Sites, in units of the cell vectors:
Li: 0.379 0.879 0.000
Li: 0.879 0.621 0.000
Li: 0.621 0.121 0.000
Li: 0.121 0.379 0.000
Na: 0.167 0.667 0.500
Na: 0.333 0.167 0.500
Na: 0.667 0.833 0.500
Na: 0.833 0.333 0.500
Ba: 0.000 0.000 0.000
Ba: 0.500 0.500 0.000



Ba2Na3Li | GGA-PBE | optimized geometry

Output
Offset from the most stable computed form: 19 meV per atom
Symmetry: Cmcm

Cell: 6.127 6.956 12.733 Å, 90.00 103.92 90.00°
Sites, in units of the cell vectors:
Li: 0.478 0.750 0.957
Li: 0.522 0.250 0.043
Ba: 0.770 0.250 0.540
Ba: 0.049 0.750 0.097
Ba: 0.230 0.750 0.460
Ba: 0.951 0.250 0.903
Na: 0.626 0.987 0.253
Na: 0.133 0.250 0.267
Na: 0.867 0.750 0.733
Na: 0.626 0.513 0.253
Na: 0.374 0.013 0.747
Na: 0.374 0.487 0.747



Ba6NaLi | GGA-PBE | optimized geometry

Output
Offset from the most stable computed form: 0 meV per atom
Symmetry: I4/mmm

Cell: 6.378 6.378 11.904 Å, 74.46 74.46 90.00°
Sites, in units of the cell vectors:
Ba: 0.250 0.250 0.500
Ba: 0.102 0.602 0.797
Ba: 0.602 0.102 0.797
Ba: 0.750 0.750 0.500
Ba: 0.898 0.398 0.203
Ba: 0.398 0.898 0.203
Na: 0.500 0.500 0.000
Li: 0.000 0.000 0.000



Ba2Na3Li | GGA-PBE | optimized geometry

Output
Offset from the most stable computed form: 0 meV per atom
Symmetry: Pmm2

Cell: 4.513 5.840 10.233 Å, 90.00 90.00 90.00°
Sites, in units of the cell vectors:
Li: 0.500 0.500 0.335
Na: 0.500 0.500 0.661
Na: 0.500 0.000 0.832
Na: 0.500 0.000 0.171
Ba: 0.000 0.500 0.019
Ba: 0.000 0.000 0.483



Ba3NaLi | GGA-PBE | optimized geometry

Output
Offset from the most stable computed form: 156 meV per atom
Symmetry: Pm-3m

Cell: 6.685 6.685 6.685 Å, 90.00 90.00 90.00°
Sites, in units of the cell vectors:
Na: 0.500 0.500 0.500
Ba: 0.500 0.000 0.000
Ba: 0.000 0.000 0.500
Ba: 0.000 0.500 0.000
Li: 0.000 0.000 0.000



BaNaLi | GGA-PBE | optimized geometry

Output
Offset from the most stable computed form: 20 meV per atom
Symmetry: I4mm

Cell: 4.240 4.240 7.346 Å, 106.77 106.77 90.00°
Sites, in units of the cell vectors:
Ba: 0.007 0.007 0.015
Li: 0.690 0.690 0.381
Na: 0.302 0.302 0.604



BaNaLi | GGA-PBE | optimized geometry

Output
Offset from the most stable computed form: 0 meV per atom
Symmetry: Imma

Cell: 6.984 6.961 6.961 Å, 60.32 59.89 59.89°
Sites, in units of the cell vectors:
Li: 0.000 0.000 0.000
Li: 0.500 0.000 0.000
Na: 0.500 0.000 0.500
Na: 0.500 0.500 0.000
Ba: 0.122 0.628 0.628
Ba: 0.878 0.372 0.372



BaNa10Li3 | GGA-PBE | optimized geometry

Output
Symmetry: Fm-3m

Cell: 11.424 11.424 11.424 Å, 60.00 60.00 60.00°
Sites, in units of the cell vectors:
Na: 0.655 0.000 0.345
Na: 0.386 0.841 0.386
Na: 0.159 0.614 0.614
Na: 0.345 0.000 0.000
Na: 0.386 0.386 0.841
Na: 0.000 0.000 0.655
Na: 0.614 0.159 0.614
Na: 0.345 0.000 0.655
Na: 0.000 0.345 0.655
Na: 0.614 0.614 0.614
Na: 0.000 0.655 0.345
Na: 0.614 0.614 0.159
Na: 0.655 0.000 0.000
Na: 0.000 0.345 0.000
Na: 0.386 0.386 0.386
Na: 0.841 0.386 0.386
Na: 0.000 0.000 0.345
Na: 0.345 0.655 0.000
Na: 0.655 0.345 0.000
Na: 0.000 0.655 0.000
Li: 0.270 0.270 0.730
Li: 0.730 0.270 0.730
Li: 0.270 0.730 0.270
Li: 0.730 0.730 0.270
Li: 0.730 0.270 0.270
Li: 0.270 0.730 0.730
Ba: 0.250 0.250 0.250
Ba: 0.750 0.750 0.750



no.,E_form (kJ/mol of formula units)
1,91
2,11
3,19
4,8
5,19
6,11
7,85
8,55
9,97
10,34
11,32
12,16
13,40
14,33
15,24
16,23
17,92
18,13
19,8
20,129